1.
VASP calculation (PBE-GGA) on an optimized crystal structure of RbP2Ir2.

Lattice parameters (Å, degrees): 3.9682 3.9682 7.4606 105.42 105.42 90.00
Closest atoms and distances in Å follow each position.
Fractional coordinates of all 5 atoms:
1 P 0.3428 0.3428 0.6856  4 Ir 2.36
2 P 0.6572 0.6572 0.3144  4 Ir 2.36
3 Rb 0.0000 0.0000 0.0000  8 P 3.55, 4 Rb 3.97
4 Ir 0.7500 0.2500 0.5000  4 P 2.36
5 Ir 0.2500 0.7500 0.5000  4 P 2.36

Raw total energy, eV/atom: -6.5355
Crystal system: tetragonal
Size of the total moment, μB per cell: 0.00
D(E_F), states/eV per cell: 1.23
Energy relative to the elements, meV/atom: -634



2.
VASP calculation (PBE-GGA) on an optimized crystal structure of Ce3Cd7Pd4.

Lattice parameters (Å, degrees): 4.3187 8.4445 9.4757 72.61 76.83 75.18
Closest atoms and distances in Å follow each position.
Fractional coordinates of all 14 atoms:
1 Cd 0.1662 0.6057 0.0619  3 Pd 2.91-2.98, 5 Cd 2.99-3.16
2 Cd 0.5146 0.7810 0.1899  3 Pd 2.76-2.81, 5 Cd 2.99-3.09
3 Cd 0.4854 0.2190 0.8101  3 Pd 2.76-2.81, 5 Cd 2.99-3.09
4 Cd 0.8338 0.3943 0.9381  3 Pd 2.91-2.98, 5 Cd 2.99-3.16
5 Cd 0.6746 0.1575 0.4933  4 Pd 2.73-2.87
6 Cd 0.0000 0.0000 0.0000  2 Pd 2.79, 6 Cd 3.05-3.12
7 Cd 0.3254 0.8425 0.5067  4 Pd 2.73-2.87
8 Pd 0.6588 0.4314 0.2510  5 Cd 2.73-2.98, 2 Ce 3.02
9 Pd 0.1159 0.0810 0.6871  6 Cd 2.77-2.87, 2 Ce 3.04
10 Pd 0.8841 0.9190 0.3129  6 Cd 2.77-2.87, 2 Ce 3.04
11 Pd 0.3412 0.5686 0.7490  5 Cd 2.73-2.98, 2 Ce 3.02
12 Ce 0.0000 0.5000 0.5000  6 Pd 3.30-3.42, 4 Cd 3.55
13 Ce 0.7010 0.8130 0.7850  4 Pd 3.02-3.04, 4 Cd 3.32-3.36
14 Ce 0.2990 0.1870 0.2150  4 Pd 3.02-3.04, 4 Cd 3.32-3.36

Raw total energy, eV/atom: -3.6443
Crystal system: monoclinic
Size of the total moment, μB per cell: 0.47
D(E_F), states/eV per cell: 22.66
Energy relative to the elements, meV/atom: -432



3.
VASP calculation (PBE-GGA) on an optimized crystal structure of Nd2TlPd5.

Lattice parameters (Å, degrees): 6.4460 6.4460 6.0142 122.40 122.40 90.00
Closest atoms and distances in Å follow each position.
Fractional coordinates of all 8 atoms:
1 Nd 0.2401 0.7401 0.4802  10 Pd 2.97-3.22
2 Nd 0.7401 0.2401 0.4802  10 Pd 2.97-3.22
3 Pd 0.6965 0.2629 0.9594  3 Pd 2.79-2.91, 1 Tl 2.83, 4 Nd 2.97-3.08
4 Pd 0.7511 0.7511 0.5021  8 Pd 2.91-3.14, 1 Tl 2.95, 4 Nd 3.22
5 Pd 0.2629 0.2629 0.9594  3 Pd 2.79-2.91, 1 Tl 2.83, 4 Nd 2.97-3.08
6 Pd 0.6965 0.6965 0.9594  3 Pd 2.79-2.91, 1 Tl 2.83, 4 Nd 2.97-3.08
7 Pd 0.2629 0.6965 0.9594  3 Pd 2.79-2.91, 1 Tl 2.83, 4 Nd 2.97-3.08
8 Tl 0.1269 0.1269 0.2539  5 Pd 2.83-2.95

Raw total energy, eV/atom: -5.3279
Crystal system: tetragonal
Size of the total moment, μB per cell: 0.00
D(E_F), states/eV per cell: 5.25
Energy relative to the elements, meV/atom: -595



4.
VASP calculation (PBE-GGA) on an optimized crystal structure of Fe2PdRh.

Lattice parameters (Å, degrees): 6.5322 6.5322 5.3123 52.06 52.06 90.00
Closest atoms and distances in Å follow each position.
Fractional coordinates of all 8 atoms:
1 Rh 0.5000 0.5000 0.0000  4 Fe 2.29
2 Rh 0.2500 0.7500 0.5000  4 Fe 2.29
3 Pd 0.0000 0.0000 0.0000  4 Fe 2.52, 2 Rh 2.62
4 Pd 0.7500 0.2500 0.5000  4 Fe 2.52, 2 Rh 2.62
5 Fe 0.1505 0.6250 0.2500  2 Rh 2.29, 2 Pd 2.52
6 Fe 0.8750 0.8495 0.7500  2 Rh 2.29, 2 Pd 2.52
7 Fe 0.5995 0.1250 0.2500  2 Rh 2.29, 2 Pd 2.52
8 Fe 0.3750 0.4005 0.7500  2 Rh 2.29, 2 Pd 2.52

Raw total energy, eV/atom: -6.6130
Crystal system: tetragonal
Size of the total moment, μB per cell: 0.00
D(E_F), states/eV per cell: 13.16
Energy relative to the elements, meV/atom: 754



5.
VASP calculation (PBE-GGA) on an optimized crystal structure of SnAsRu2Au.

Lattice parameters (Å, degrees): 4.5536 5.2765 4.5536 90.00 90.00 90.00
Closest atoms and distances in Å follow each position.
Fractional coordinates of all 5 atoms:
1 Sn 0.0000 0.5000 0.0000  2 As 2.64
2 As 0.0000 0.0000 0.0000  4 Ru 2.28
3 Au 0.5000 0.5000 0.5000  4 Sn 3.22, 8 Ru 3.48
4 Ru 0.0000 0.0000 0.5000  2 As 2.28
5 Ru 0.5000 0.0000 0.0000  2 As 2.28

Raw total energy, eV/atom: -5.1814
Crystal system: tetragonal
Size of the total moment, μB per cell: 1.31
D(E_F), states/eV per cell: 3.77
Energy relative to the elements, meV/atom: 915